No. 1
{"formula": "Tb3S5", "functional": "PBE-GGA", "state": "relaxed", "mass_density_g_cm3": 6.3, "total_energy_ry_per_atom": -0.4539, "space_group": "P6_3/mcm (193)", "m_tot_mub_per_atom": 0.00, "dos_ef_per_ev_cell": 2.721, "raw_formation_energy_mev_per_atom": -1859.5, "lattice": [[8.371, 0.000, 0.000], [-4.185, 7.249, 0.000], [0.000, 0.000, 5.541]], "species": ["Tb", "Tb", "Tb", "Tb", "Tb", "Tb", "S", "S", "S", "S", "S", "S", "S", "S", "S", "S"], "fractional_positions": [[0.000, 0.364, 0.250], [0.000, 0.636, 0.750], [0.364, 0.000, 0.250], [0.364, 0.364, 0.750], [0.636, 0.000, 0.750], [0.636, 0.636, 0.250], [0.000, 0.281, 0.750], [0.000, 0.719, 0.250], [0.281, 0.000, 0.750], [0.281, 0.281, 0.250], [0.333, 0.667, 0.000], [0.333, 0.667, 0.500], [0.667, 0.333, 0.000], [0.667, 0.333, 0.500], [0.719, 0.000, 0.250], [0.719, 0.719, 0.750]]}

***

No. 2
{"formula": "Ac4RuPt2", "functional": "PBE-GGA", "state": "relaxed", "mass_density_g_cm3": 10.0, "total_energy_ry_per_atom": -0.4317, "ef_kj_per_mol_fu": -320, "space_group": "I4/mmm (139)", "m_tot_mub_per_atom": 0.00, "dos_ef_per_ev_cell": 5.718, "lattice": [[-2.745, 2.745, 7.699], [2.745, -2.745, 7.699], [2.745, 2.745, -7.699]], "species": ["Ac", "Ac", "Ac", "Ac", "Ru", "Pt", "Pt"], "fractional_positions": [[0.000, 0.500, 0.500], [0.193, 0.193, 0.000], [0.500, 0.000, 0.500], [0.807, 0.807, 0.000], [0.000, 0.000, 0.000], [0.378, 0.378, 0.000], [0.622, 0.622, 0.000]]}